The following is a DFT calculation (PBE-GGA) of an optimized crystal structure of Rb2MnI7.

- Space-group type: I4/mmm
- Theoretical density: 3.8 g cm⁻³
- Formation energy (no corrections): -0.68 eV per atom

```
data_Rb2MnI7
_cell_length_a 8.966
_cell_length_b 8.966
_cell_length_c 8.792
_cell_angle_alpha 59.34
_cell_angle_beta 59.34
_cell_angle_gamma 90.00
_space_group_name_H-M_alt 'P 1'
_space_group_IT_number 1
_space_group_name_Hall 'P 1'
loop_
_atom_site_label
_atom_site_fract_x
_atom_site_fract_y
_atom_site_fract_z
_atom_site_occupancy
I1 0.000 0.000 0.000 1
I2 0.240 0.240 0.520 1
I3 0.760 0.760 0.480 1
I4 0.290 0.290 0.000 1
I5 0.710 0.710 0.000 1
I6 0.710 0.290 0.000 1
I7 0.290 0.710 0.000 1
Mn1 0.500 0.500 0.000 1
Rb1 0.750 0.250 0.500 1
Rb2 0.250 0.750 0.500 1
```


The following is a DFT calculation (PBE-GGA) of an optimized crystal structure of CaPr6Y2.

- Space-group type: P-6m2
- Theoretical density: 5.4 g cm⁻³
- Energy of formation: 0.058 eV per atom

```
data_CaPr6Y2
_cell_length_a 3.699
_cell_length_b 3.699
_cell_length_c 27.720
_cell_angle_alpha 90.00
_cell_angle_beta 90.00
_cell_angle_gamma 120.00
_space_group_name_H-M_alt 'P 1'
_space_group_IT_number 1
_space_group_name_Hall 'P 1'
loop_
_atom_site_label
_atom_site_fract_x
_atom_site_fract_y
_atom_site_fract_z
_atom_site_occupancy
Ca1 0.667 0.333 0.000 1
Pr1 0.333 0.667 0.116 1
Pr2 0.667 0.333 0.566 1
Pr3 0.667 0.333 0.224 1
Pr4 0.667 0.333 0.776 1
Pr5 0.667 0.333 0.434 1
Pr6 0.333 0.667 0.884 1
Y1 0.333 0.667 0.668 1
Y2 0.333 0.667 0.332 1
```


The following is a DFT calculation (PBE-GGA) of an optimized crystal structure of HoTmHgOs.

- Space-group type: P4mm
- Theoretical density: 13.6 g cm⁻³
- Energy of formation: -0.421 eV per atom

```
data_HoTmHgOs
_cell_length_a 3.426
_cell_length_b 3.426
_cell_length_c 7.565
_cell_angle_alpha 90.00
_cell_angle_beta 90.00
_cell_angle_gamma 90.00
_space_group_name_H-M_alt 'P 1'
_space_group_IT_number 1
_space_group_name_Hall 'P 1'
loop_
_atom_site_label
_atom_site_fract_x
_atom_site_fract_y
_atom_site_fract_z
_atom_site_occupancy
Ho1 0.500 0.500 0.788 1
Tm1 0.500 0.500 0.353 1
Hg1 0.000 0.000 0.075 1
Os1 0.000 0.000 0.568 1
```


The following is a DFT calculation (PBE-GGA) of an optimized crystal structure of NdBC2.

- Space-group type: R-3m
- Theoretical density: 4.2 g cm⁻³
- Energy of formation: 0.610 eV per atom

```
data_NdBC2
_cell_length_a 3.966
_cell_length_b 3.966
_cell_length_c 5.692
_cell_angle_alpha 69.61
_cell_angle_beta 69.61
_cell_angle_gamma 60.00
_space_group_name_H-M_alt 'P 1'
_space_group_IT_number 1
_space_group_name_Hall 'P 1'
loop_
_atom_site_label
_atom_site_fract_x
_atom_site_fract_y
_atom_site_fract_z
_atom_site_occupancy
C1 0.091 0.091 0.726 1
C2 0.909 0.909 0.274 1
B1 0.000 0.000 0.000 1
Nd1 0.500 0.500 0.500 1
```


The following is a DFT calculation (PBE-GGA) of an optimized crystal structure of Tb6ZnS4.

- Space-group type: Cmcm
- Theoretical density: 7.4 g cm⁻³
- Formation energy (no corrections): -1.54 eV per atom

```
data_Tb6ZnS4
_cell_length_a 3.927
_cell_length_b 6.794
_cell_length_c 20.117
_cell_angle_alpha 90.00
_cell_angle_beta 90.00
_cell_angle_gamma 106.80
_space_group_name_H-M_alt 'P 1'
_space_group_IT_number 1
_space_group_name_Hall 'P 1'
loop_
_atom_site_label
_atom_site_fract_x
_atom_site_fract_y
_atom_site_fract_z
_atom_site_occupancy
Tb1 0.500 0.000 0.000 1
Tb2 0.500 0.000 0.500 1
Tb3 0.043 0.087 0.338 1
Tb4 0.957 0.913 0.662 1
Tb5 0.957 0.913 0.838 1
Tb6 0.043 0.087 0.162 1
Tb7 0.773 0.545 0.416 1
Tb8 0.227 0.455 0.584 1
Tb9 0.227 0.455 0.916 1
Tb10 0.773 0.545 0.084 1
Tb11 0.330 0.660 0.250 1
Tb12 0.670 0.340 0.750 1
Zn1 0.658 0.317 0.250 1
Zn2 0.342 0.683 0.750 1
S1 0.863 0.725 0.540 1
S2 0.408 0.815 0.123 1
S3 0.137 0.275 0.460 1
S4 0.592 0.185 0.877 1
S5 0.863 0.725 0.960 1
S6 0.137 0.275 0.040 1
S7 0.592 0.185 0.623 1
S8 0.408 0.815 0.377 1
```


The following is a DFT calculation (PBE-GGA) of an optimized crystal structure of LiSiNi2.

- Space-group type: P4mm
- Theoretical density: 5.3 g cm⁻³
- Formation energy (no corrections): -0.15 eV per atom

```
data_LiSiNi2
_cell_length_a 2.575
_cell_length_b 2.575
_cell_length_c 7.250
_cell_angle_alpha 90.00
_cell_angle_beta 90.00
_cell_angle_gamma 89.99
_space_group_name_H-M_alt 'P 1'
_space_group_IT_number 1
_space_group_name_Hall 'P 1'
loop_
_atom_site_label
_atom_site_fract_x
_atom_site_fract_y
_atom_site_fract_z
_atom_site_occupancy
Li1 0.500 0.500 0.754 1
Ni1 0.000 0.000 0.020 1
Ni2 0.500 0.500 0.257 1
Si1 0.000 0.000 0.468 1
```


The following is a DFT calculation (PBE-GGA) of an optimized crystal structure of EuSbPb.

- Space-group type: F-43m
- Theoretical density: 7.2 g cm⁻³
- Formation energy (no corrections): -0.43 eV per atom

```
data_EuSbPb
_cell_length_a 5.395
_cell_length_b 5.395
_cell_length_c 5.395
_cell_angle_alpha 60.00
_cell_angle_beta 60.00
_cell_angle_gamma 60.00
_space_group_name_H-M_alt 'P 1'
_space_group_IT_number 1
_space_group_name_Hall 'P 1'
loop_
_atom_site_label
_atom_site_fract_x
_atom_site_fract_y
_atom_site_fract_z
_atom_site_occupancy
Pb1 0.000 0.000 0.000 1
Eu1 0.500 0.500 0.500 1
Sb1 0.250 0.250 0.250 1
```


The following is a DFT calculation (PBE-GGA) of an optimized crystal structure of LaFe2W.

- Space-group type: F-43m
- Theoretical density: 11.0 g cm⁻³
- Energy of formation: 0.715 eV per atom

```
data_LaFe2W
_cell_length_a 4.524
_cell_length_b 4.524
_cell_length_c 4.524
_cell_angle_alpha 60.00
_cell_angle_beta 60.00
_cell_angle_gamma 60.00
_space_group_name_H-M_alt 'P 1'
_space_group_IT_number 1
_space_group_name_Hall 'P 1'
loop_
_atom_site_label
_atom_site_fract_x
_atom_site_fract_y
_atom_site_fract_z
_atom_site_occupancy
Fe1 0.000 0.000 0.000 1
Fe2 0.250 0.250 0.250 1
La1 0.500 0.500 0.500 1
W1 0.750 0.750 0.750 1
```


The following is a DFT calculation (PBE-GGA) of an optimized crystal structure of PmLuSc.

- Space-group type: I4mm
- Theoretical density: 6.9 g cm⁻³
- Energy of formation: 0.051 eV per atom

```
data_PmLuSc
_cell_length_a 3.472
_cell_length_b 3.472
_cell_length_c 7.698
_cell_angle_alpha 103.03
_cell_angle_beta 103.03
_cell_angle_gamma 90.00
_space_group_name_H-M_alt 'P 1'
_space_group_IT_number 1
_space_group_name_Hall 'P 1'
loop_
_atom_site_label
_atom_site_fract_x
_atom_site_fract_y
_atom_site_fract_z
_atom_site_occupancy
Sc1 0.664 0.664 0.329 1
Lu1 0.006 0.006 0.012 1
Pm1 0.329 0.329 0.659 1
```


The following is a DFT calculation (PBE-GGA) of an optimized crystal structure of Ag2PPt.

- Space-group type: P4/mmm
- Theoretical density: 10.9 g cm⁻³
- Energy of formation: 0.342 eV per atom

```
data_Ag2PPt
_cell_length_a 4.854
_cell_length_b 4.854
_cell_length_c 2.867
_cell_angle_alpha 90.00
_cell_angle_beta 90.00
_cell_angle_gamma 90.00
_space_group_name_H-M_alt 'P 1'
_space_group_IT_number 1
_space_group_name_Hall 'P 1'
loop_
_atom_site_label
_atom_site_fract_x
_atom_site_fract_y
_atom_site_fract_z
_atom_site_occupancy
Ag1 0.000 0.000 0.000 1
Ag2 0.500 0.500 0.000 1
P1 0.500 0.000 0.500 1
Pt1 0.000 0.500 0.500 1
```


The following is a DFT calculation (PBE-GGA) of an optimized crystal structure of HgAsBr2O.

- Space-group type: P4/mmm
- Theoretical density: 4.9 g cm⁻³
- Formation energy (no corrections): 1.12 eV per atom

```
data_HgAsBr2O
_cell_length_a 5.328
_cell_length_b 5.328
_cell_length_c 5.431
_cell_angle_alpha 90.00
_cell_angle_beta 90.00
_cell_angle_gamma 90.00
_space_group_name_H-M_alt 'P 1'
_space_group_IT_number 1
_space_group_name_Hall 'P 1'
loop_
_atom_site_label
_atom_site_fract_x
_atom_site_fract_y
_atom_site_fract_z
_atom_site_occupancy
O1 0.500 0.500 0.500 1
As1 0.000 0.000 0.500 1
Hg1 0.000 0.000 0.000 1
Br1 0.000 0.500 0.000 1
Br2 0.500 0.000 0.000 1
```


The following is a DFT calculation (PBE-GGA) of an optimized crystal structure of RbRuO2F.

- Space-group type: P4/mmm
- Theoretical density: 4.3 g cm⁻³
- Formation energy (no corrections): 0.96 eV per atom

```
data_RbRuO2F
_cell_length_a 4.346
_cell_length_b 4.346
_cell_length_c 4.802
_cell_angle_alpha 90.00
_cell_angle_beta 90.00
_cell_angle_gamma 90.00
_space_group_name_H-M_alt 'P 1'
_space_group_IT_number 1
_space_group_name_Hall 'P 1'
loop_
_atom_site_label
_atom_site_fract_x
_atom_site_fract_y
_atom_site_fract_z
_atom_site_occupancy
Ru1 0.500 0.500 0.500 1
O1 0.000 0.500 0.000 1
O2 0.500 0.000 0.000 1
Rb1 0.000 0.000 0.000 1
F1 0.000 0.000 0.500 1
```